1.
Here is a relaxed structure of TaGaCl4 from the Alexandria database. Energies are from PBE.

## Properties
As for the formation energy from raw total energies: -478 kJ/mol of formula units. As for the total energy: -4.54 eV/atom. Its density is 3.67 g/cm³. The volume is 355 Å³ per cell. The calculation puts the total magnetization at 0.98 μB per formula unit.

Lattice parameters (Å, degrees): 8.1396 6.7531 8.1849 101.93 109.06 114.45
Closest atoms and distances in Å follow each position.
Fractional positions:
Cl: 0.1110 0.2467 0.7662  1 Ta 2.37
Cl: 0.8895 0.2540 0.2347  1 Ta 2.37
Cl: 0.3452 0.4807 0.2347  1 Ta 2.37
Cl: 0.8890 0.7533 0.2338  1 Ta 2.37
Cl: 0.6552 0.0194 0.7662  1 Ta 2.37
Cl: 0.6548 0.5193 0.7653  1 Ta 2.37
Cl: 0.3448 0.9806 0.2338  1 Ta 2.37
Cl: 0.1105 0.7460 0.7653  1 Ta 2.37
Ga: 0.4967 0.2467 0.9935  8 Cl 3.08-3.14, 2 Ga 3.38
Ga: 0.5033 0.7533 0.0065  8 Cl 3.08-3.14, 2 Ga 3.38
Ta: 0.0002 0.2502 0.0005  4 Cl 2.37
Ta: 0.9998 0.7498 0.9995  4 Cl 2.37

=====

2.
Here is a relaxed structure of CsPm3F9 from the Alexandria database. Energies are from PBE.

## Properties
As for the formation energy from raw total energies: -4643 kJ/mol of formula units. As for the total energy: -6.16 eV/atom. Its density is 3.89 g/cm³. The volume is 316 Å³ per cell. The calculation puts the total magnetization at 0.00 μB per formula unit.

Lattice parameters (Å, degrees): 8.9381 8.9381 4.5642 90.00 90.00 120.00
Closest atoms and distances in Å follow each position.
Fractional positions:
Cs: 0.0000 0.0000 0.0000  18 F 4.07-4.47
F: 0.2173 0.7827 0.5000  2 Pm 2.29
F: 0.5654 0.7827 0.5000  2 Pm 2.29
F: 0.0000 0.5000 0.0000  2 Pm 2.28
F: 0.2173 0.4346 0.5000  2 Pm 2.29
F: 0.4346 0.2173 0.5000  2 Pm 2.29
F: 0.7827 0.5654 0.5000  2 Pm 2.29
F: 0.7827 0.2173 0.5000  2 Pm 2.29
F: 0.5000 0.5000 0.0000  2 Pm 2.28
F: 0.5000 0.0000 0.0000  2 Pm 2.28
Pm: 0.0000 0.5000 0.5000  6 F 2.28-2.29
Pm: 0.5000 0.0000 0.5000  6 F 2.28-2.29
Pm: 0.5000 0.5000 0.5000  6 F 2.28-2.29

=====

3.
Here is a relaxed structure of Pu2PaF11 from the Alexandria database. Energies are from PBE.

## Properties
As for the formation energy from raw total energies: -4979 kJ/mol of formula units. As for the total energy: -7.88 eV/atom. Its density is 6.08 g/cm³. The volume is 507 Å³ per cell. The calculation puts the total magnetization at 10.01 μB per formula unit.

Lattice parameters (Å, degrees): 8.3960 8.8372 8.8372 74.21 61.64 61.64
Closest atoms and distances in Å follow each position.
Fractional positions:
F: 0.5568 0.0202 0.6889  1 Pa 2.25, 1 Pu 2.36
F: 0.0000 0.0000 0.0000  2 Pu 2.27
F: 0.0568 0.1889 0.5202  1 Pa 2.25, 1 Pu 2.36
F: 0.2342 0.5202 0.1889  1 Pa 2.25, 1 Pu 2.36
F: 0.7342 0.6889 0.0202  1 Pa 2.25, 1 Pu 2.36
F: 0.5673 0.2074 0.0736  1 Pa 2.26, 1 Pu 2.37
F: 0.3483 0.2926 0.4264  1 Pa 2.26, 1 Pu 2.37
F: 0.8721 0.7816 0.2184  2 Pu 2.21-2.30
F: 0.6517 0.7074 0.5736  1 Pa 2.26, 1 Pu 2.37
F: 0.6279 0.2816 0.7184  2 Pu 2.21-2.30
F: 0.3721 0.7184 0.2816  2 Pu 2.21-2.30
F: 0.8483 0.9264 0.7926  1 Pa 2.26, 1 Pu 2.37
F: 0.1279 0.2184 0.7816  2 Pu 2.21-2.30
F: 0.9432 0.8111 0.4798  1 Pa 2.25, 1 Pu 2.36
F: 0.0673 0.5736 0.7074  1 Pa 2.26, 1 Pu 2.37
F: 0.1517 0.0736 0.2074  1 Pa 2.26, 1 Pu 2.37
F: 0.5000 0.5000 0.5000  2 Pu 2.27
F: 0.9327 0.4264 0.2926  1 Pa 2.26, 1 Pu 2.37
F: 0.7658 0.4798 0.8111  1 Pa 2.25, 1 Pu 2.36
F: 0.4432 0.9798 0.3111  1 Pa 2.25, 1 Pu 2.36
F: 0.4327 0.7926 0.9264  1 Pa 2.26, 1 Pu 2.37
F: 0.2658 0.3111 0.9798  1 Pa 2.25, 1 Pu 2.36
Pu: 0.1421 0.8187 0.1813  7 F 2.21-2.37
Pu: 0.6421 0.6813 0.3187  7 F 2.21-2.37
Pu: 0.8579 0.1813 0.8187  7 F 2.21-2.37
Pu: 0.3579 0.3187 0.6813  7 F 2.21-2.37
Pa: 0.2500 0.2500 0.2500  8 F 2.25-2.26
Pa: 0.7500 0.7500 0.7500  8 F 2.25-2.26

=====

4.
Here is a relaxed structure of Li3Ca4Cd2 from the Alexandria database. Energies are from PBE.

## Properties
As for the formation energy from the elements: -0.147 eV per atom. As for the total energy: -1.88 eV/atom. Its density is 2.61 g/cm³. The volume is 259 Å³ per cell. The calculation puts the total magnetization at 0.00 μB per formula unit.

Lattice parameters (Å, degrees): 5.4289 5.4302 10.1302 89.88 90.00 60.01
Closest atoms and distances in Å follow each position.
Fractional positions:
Ca: 0.6664 0.6672 0.8881  4 Cd 3.31-3.33, 3 Li 3.33
Ca: 0.0006 0.9988 0.3205  4 Li 3.25-3.57, 3 Cd 3.30-3.31
Ca: 0.9994 0.0012 0.6795  4 Li 3.25-3.57, 3 Cd 3.30-3.31
Ca: 0.3336 0.3328 0.1119  4 Cd 3.31-3.33, 3 Li 3.33
Li: 0.6669 0.6661 0.5123  1 Cd 2.99, 3 Li 3.14-3.15
Li: 0.3331 0.3339 0.4877  1 Cd 2.99, 3 Li 3.14-3.15
Li: 0.0000 0.0000 0.0000  8 Ca 3.25-3.33
Cd: 0.3327 0.3345 0.7832  1 Li 2.99, 7 Ca 3.30-3.33
Cd: 0.6673 0.6655 0.2168  1 Li 2.99, 7 Ca 3.30-3.33

=====

5.
Here is a relaxed structure of MgAs3S from the Alexandria database. Energies are from PBE.

## Properties
As for the formation energy from raw total energies: 242 kJ/mol of formula units. As for the total energy: -3.43 eV/atom. Its density is 4.15 g/cm³. The volume is 113 Å³ per cell. The calculation puts the total magnetization at 0.00 μB per formula unit.

Lattice parameters (Å, degrees): 4.8282 4.8282 4.8282 90.00 90.00 90.00
Closest atoms and distances in Å follow each position.
Fractional positions:
As: 0.5000 0.0000 0.0000  2 S 2.41
As: 0.0000 0.5000 0.0000  2 S 2.41
As: 0.0000 0.0000 0.5000  2 S 2.41
Mg: 0.5000 0.5000 0.5000  12 As 3.41
S: 0.0000 0.0000 0.0000  6 As 2.41

=====

> Which of these has the lowest volume?

MgAs3S

=====

> The lowest volume belongs to which entry?

MgAs3S